Compound: Mo2Ir
Source: Alexandria via LeMat-Bulk
Functional: PBE
Structure: optimized geometry

Cell and atoms, written as POSCAR:
```
Mo2Ir
1.0
2.7539 0.0000 0.0000
-1.3769 2.3849 0.0000
0.0000 0.0000 7.0690
Ir Mo
1 2
Cartesian
0.0000 0.0000 0.0000 Ir
0.0000 1.5899 2.2948 Mo
1.3769 0.7950 4.7741 Mo
```

Results
Excess energy over the best structure of this formula in the dataset, eV per atom: 0.190
ΔH_f (0 K), kcal/mol of atoms: 0.96
Total magnetic moment, μB/atom: 0.0000
SG: No. 164
Total DFT energy (no corrections), eV per atom: -10.133
Crystal system: trigonal